# 1
The following is a DFT calculation (GGA-PBE) of LiFeCo after structural relaxation.

Unit cell a=4.1764 b=4.1764 c=8.7373 alpha=90.00 beta=90.00 gamma=120.00
With the nearest neighbours (Å) after each atom.
Fractional coordinates of all 6 atoms:
Co 0.0000 0.0000 0.0000  2 Fe 2.18
Co 0.0000 0.0000 0.5000  2 Fe 2.18
Fe 0.0000 0.0000 0.2500  2 Co 2.18, 3 Li 2.41
Fe 0.0000 0.0000 0.7500  2 Co 2.18, 3 Li 2.41
Li 0.3333 0.6667 0.2500  3 Fe 2.41
Li 0.6667 0.3333 0.7500  3 Fe 2.41

Mass density in g cm⁻³: 3.06

=====

# 2
The following is a DFT calculation (GGA-PBE) of Rb3AcBi2Te6 after structural relaxation.

Unit cell a=8.1558 b=8.1558 c=9.0450 alpha=98.68 beta=98.68 gamma=120.03
With the nearest neighbours (Å) after each atom.
Fractional coordinates of all 12 atoms:
Te 0.5836 0.9311 0.7939  2 Bi 3.20, 1 Ac 3.34
Te 0.4164 0.0689 0.2061  2 Bi 3.20, 1 Ac 3.34
Te 0.0689 0.4164 0.2061  2 Bi 3.20, 1 Ac 3.34
Te 0.7213 0.7213 0.2056  2 Bi 3.20, 1 Ac 3.34
Te 0.9311 0.5836 0.7939  2 Bi 3.20, 1 Ac 3.34
Te 0.2787 0.2787 0.7944  2 Bi 3.20, 1 Ac 3.34
Rb 0.1645 0.8355 0.5000  6 Te 3.65-3.76
Rb 0.5000 0.5000 0.5000  6 Te 3.64-3.76
Rb 0.8355 0.1645 0.5000  6 Te 3.65-3.76
Bi 0.6670 0.3330 0.0000  6 Te 3.20
Bi 0.3330 0.6670 0.0000  6 Te 3.20
Ac 0.0000 0.0000 0.0000  6 Te 3.34

Mass density in g cm⁻³: 5.57

=====

# 3
The following is a DFT calculation (GGA-PBE) of Y3HfSe6 after structural relaxation.

Unit cell a=6.8858 b=8.9518 c=8.9518 alpha=102.10 beta=90.00 gamma=90.00
With the nearest neighbours (Å) after each atom.
Fractional coordinates of all 20 atoms:
Se 0.6813 0.9706 0.0294  1 Hf 2.58
Se 0.6516 0.2242 0.7758  1 Hf 2.56
Se 0.6843 0.3022 0.3711  4 Y 2.84-2.91
Se 0.7046 0.8986 0.4403  1 Hf 2.52
Se 0.6843 0.6289 0.6978  4 Y 2.84-2.91
Se 0.7046 0.5597 0.1014  1 Hf 2.52
Se 0.1813 0.0294 0.9706  1 Hf 2.58
Se 0.1843 0.3711 0.3022  4 Y 2.84-2.91
Se 0.1516 0.7758 0.2242  1 Hf 2.56
Se 0.2046 0.1014 0.5597  1 Hf 2.52
Se 0.1843 0.6978 0.6289  4 Y 2.84-2.91
Se 0.2046 0.4403 0.8986  1 Hf 2.52
Y 0.4837 0.9149 0.7274  7 Se 2.84-3.13
Y 0.3882 0.4076 0.5924  7 Se 2.86-3.13
Y 0.9837 0.0851 0.2726  7 Se 2.84-3.13
Y 0.4837 0.2726 0.0851  7 Se 2.84-3.13
Y 0.8882 0.5924 0.4076  7 Se 2.86-3.13
Y 0.9837 0.7274 0.9149  7 Se 2.84-3.13
Hf 0.5189 0.8035 0.1965  4 Se 2.52-2.58
Hf 0.0189 0.1965 0.8035  4 Se 2.52-2.58

Mass density in g cm⁻³: 5.66

=====

# 4
The following is a DFT calculation (GGA-PBE) of Sr2AlAgSe4 after structural relaxation.

Unit cell a=8.3024 b=8.3024 c=8.5392 alpha=120.94 beta=120.94 gamma=88.56
With the nearest neighbours (Å) after each atom.
Fractional coordinates of all 16 atoms:
Ag 0.0000 0.5000 0.0000  6 Se 2.81-2.93
Ag 0.0000 0.5000 0.5000  6 Se 2.81-2.93
Al 0.5000 0.5000 0.5000  6 Se 2.56-2.80
Al 0.0000 0.0000 0.0000  6 Se 2.56-2.80
Se 0.2416 0.2586 0.4701  2 Al 2.79-2.80, 1 Ag 2.81, 1 Sr 3.01
Se 0.7315 0.2905 0.5109  1 Al 2.56
Se 0.7586 0.7416 0.9701  2 Al 2.79-2.80, 1 Ag 2.81, 1 Sr 3.01
Se 0.2095 0.7685 0.9891  1 Al 2.56
Se 0.7584 0.7414 0.5299  2 Al 2.79-2.80, 1 Ag 2.81, 1 Sr 3.01
Se 0.2414 0.2584 0.0299  2 Al 2.79-2.80, 1 Ag 2.81, 1 Sr 3.01
Se 0.2685 0.7095 0.4891  1 Al 2.56
Se 0.7905 0.2315 0.0109  1 Al 2.56
Sr 0.5000 0.0000 0.5000  6 Se 3.01-3.06
Sr 0.5000 0.0000 0.0000  6 Se 3.01-3.06
Sr 0.0000 0.0000 0.5000  6 Se 3.16-3.24
Sr 0.5000 0.5000 0.0000  6 Se 3.16-3.24

Mass density in g cm⁻³: 5.08

=====

# 5
The following is a DFT calculation (GGA-PBE) of Tb8Ho2Mg after structural relaxation.

Unit cell a=5.4826 b=7.6733 c=9.5962 alpha=113.57 beta=106.60 gamma=90.00
With the nearest neighbours (Å) after each atom.
Fractional coordinates of all 11 atoms:
Tb 0.1767 0.1767 0.3534  4 Ho 3.48-3.85, 8 Tb 3.54-3.60
Tb 0.8233 0.8233 0.6466  4 Ho 3.48-3.85, 8 Tb 3.54-3.60
Tb 0.3642 0.1430 0.7284  1 Mg 3.12, 2 Ho 3.37, 1 Tb 3.39
Tb 0.0000 0.2686 0.0000  2 Mg 3.43, 7 Tb 3.55-3.60, 2 Ho 3.71
Tb 0.0000 0.7314 0.0000  2 Mg 3.43, 7 Tb 3.55-3.60, 2 Ho 3.71
Tb 0.6358 0.4146 0.2715  1 Mg 3.12, 2 Ho 3.37, 1 Tb 3.39
Tb 0.6358 0.8570 0.2716  1 Mg 3.12, 2 Ho 3.37, 1 Tb 3.39
Tb 0.3642 0.5854 0.7285  1 Mg 3.12, 2 Ho 3.37, 1 Tb 3.39
Ho 0.1949 0.6949 0.3899  10 Tb 3.37-3.71
Ho 0.8051 0.3051 0.6101  10 Tb 3.37-3.71
Mg 0.5000 0.0000 0.0000  8 Tb 3.12-3.43

Mass density in g cm⁻³: 7.68

=====

# 6
The following is a DFT calculation (GGA-PBE) of CeLuCuGe after structural relaxation.

Unit cell a=4.9782 b=4.9782 c=4.9782 alpha=60.00 beta=60.00 gamma=60.00
With the nearest neighbours (Å) after each atom.
Fractional coordinates of all 4 atoms:
Cu 0.7500 0.7500 0.7500  4 Ce 3.05, 4 Lu 3.05
Ge 0.2500 0.2500 0.2500  4 Ce 3.05, 4 Lu 3.05
Ce 0.5000 0.5000 0.5000  4 Cu 3.05, 4 Ge 3.05
Lu 0.0000 0.0000 0.0000  4 Ge 3.05, 4 Cu 3.05

Mass density in g cm⁻³: 8.59

=====

# 7
The following is a DFT calculation (GGA-PBE) of PmPrGeRh after structural relaxation.

Unit cell a=5.1279 b=5.1279 c=5.1279 alpha=60.00 beta=60.00 gamma=60.00
With the nearest neighbours (Å) after each atom.
Fractional coordinates of all 4 atoms:
Rh 0.7500 0.7500 0.7500  4 Pr 3.14, 4 Pm 3.14
Ge 0.2500 0.2500 0.2500  4 Pr 3.14, 4 Pm 3.14
Pr 0.5000 0.5000 0.5000  4 Rh 3.14, 4 Ge 3.14
Pm 0.0000 0.0000 0.0000  4 Ge 3.14, 4 Rh 3.14

Mass density in g cm⁻³: 8.04

=====

# 8
The following is a DFT calculation (GGA-PBE) of Ba2SiSb after structural relaxation.

Unit cell a=3.9819 b=3.9819 c=9.7006 alpha=90.00 beta=90.00 gamma=96.45
With the nearest neighbours (Å) after each atom.
Fractional coordinates of all 4 atoms:
Sb 0.0000 0.0000 0.5740  4 Si 2.83-3.13
Ba 0.5000 0.5000 0.3312  1 Si 3.34, 2 Sb 3.55
Ba 0.0000 0.0000 0.9192  1 Sb 3.35, 2 Si 3.55
Si 0.5000 0.5000 0.6756  4 Sb 2.83-3.13

Mass density in g cm⁻³: 4.61

=====

We obtain uncorrected energy values of -25.272, -44.429, -132.365, -65.870, -46.635, -20.820, -23.883, -14.067 eV per cell for the records listed above, in that order.
We obtain spin magnetization values of 9.5, 0.0, 1.2, 0.0, 0.0, 1.0, 0.0, 0.0 μB/cell for the records listed above, in that order.